## Mn2InSb (PBE-GGA)

Data for Mn2InSb after structural relaxation.

a = 3.7407 Å, b = 4.0717 Å, c = 5.4262 Å
α = 90.00°, β = 110.00°, γ = 90.00°
Positions (direct):
1 Mn 0.0000 0.0000 0.0000
2 Mn 0.1822 0.5000 0.3589
3 In 0.4548 0.5000 0.9090
4 Sb 0.7253 0.0000 0.4457

Summary:
Formation energy (no corrections) in meV per atom: 237
Crystal system: monoclinic
Size of the total moment in μB/cell: 6.68
Polymorph energy (0 for the lowest one) in meV/atom: 11

---

## MnIn2Sb2 (PBE-GGA)

Data for MnIn2Sb2 after structural relaxation.

a = 8.8005 Å, b = 8.8005 Å, c = 8.8005 Å
α = 153.29°, β = 153.29°, γ = 38.14°
Positions (direct):
1 Mn 0.0000 0.0000 0.0000
2 In 0.2500 0.7500 0.5000
3 In 0.7500 0.2500 0.5000
4 Sb 0.4146 0.4146 0.0000
5 Sb 0.5854 0.5854 0.0000

Summary:
Formation energy (no corrections) in meV per atom: 352
Crystal system: tetragonal
Size of the total moment in μB/cell: 4.52
Polymorph energy (0 for the lowest one) in meV/atom: 182